# 1
A geometry-optimized P2RuCS structure. Source: Alexandria, functional PBE-GGA.

Unit cell a=4.4225 b=4.4225 c=5.0155 alpha=90.00 beta=90.00 gamma=90.00
Closest atoms and distances in Å follow each position.
Space group P4/mmm (No. 123)
Unique sites:
P: 0.0000 0.5000 0.0000 [2 per cell]  2 Ru 2.21
Ru: 0.0000 0.0000 0.0000 [1 per cell]  4 P 2.21
C: 0.5000 0.5000 0.5000 [1 per cell]  4 S 3.13, 8 P 3.34
S: 0.0000 0.0000 0.5000 [1 per cell]  2 Ru 2.51

Computed properties:
The excess energy over the best structure of this formula in the dataset comes out at 752.4 meV per atom. As for the theoretical density: 3.5 Mg/m³. The crystal system is tetragonal. The calculation puts the formation energy without anion corrections at 1.83 eV/atom. The total magnetization is 0.1 μB/f.u.

=====

# 2
A geometry-optimized LiTl4Bi structure. Source: Alexandria, functional PBE-GGA.

Unit cell a=9.1062 b=9.1062 c=9.1062 alpha=90.00 beta=90.00 gamma=90.00
Closest atoms and distances in Å follow each position.
Space group F-43m (No. 216)
Unique sites:
Li: 0.0000 0.0000 0.0000 [4 per cell]  12 Tl 3.78, 4 Bi 3.94
Tl: 0.1247 0.1247 0.3753 [16 per cell]  6 Tl 3.21-3.23
Bi: 0.2500 0.2500 0.7500 [4 per cell]  12 Tl 3.77, 4 Li 3.94

Computed properties:
The excess energy over the best structure of this formula in the dataset comes out at 118.4 meV per atom. As for the theoretical density: 9.1 Mg/m³. The energy of formation is 0.06 eV/atom. The crystal system is cubic. The total magnetization is 0.0 μB/f.u.

=====

# 3
A geometry-optimized K2OsAu structure. Source: Alexandria, functional PBE-GGA.

Unit cell a=2.7543 b=5.3781 c=6.0329 alpha=90.00 beta=90.73 gamma=90.00
Closest atoms and distances in Å follow each position.
Space group P2/m (No. 10)
Unique sites:
K: 0.0003 0.0000 0.2475 [2 per cell]  4 K 2.75-3.05
Os: 0.5000 0.5000 0.0000 [1 per cell]  2 Os 2.75, 2 Au 3.02
Au: 0.5000 0.5000 0.5000 [1 per cell]  2 Au 2.75, 2 Os 3.02

Computed properties:
The excess energy over the best structure of this formula in the dataset comes out at 212.3 meV per atom. As for the theoretical density: 8.6 Mg/m³. The energy of formation is 0.90 eV/atom. The crystal system is monoclinic. The total magnetization is 0.0 μB/f.u.

=====

# 4
A geometry-optimized CsHg2Bi2 structure. Source: Alexandria, functional PBE-GGA.

Unit cell a=9.8147 b=9.8147 c=3.5853 alpha=90.00 beta=90.00 gamma=90.00
Closest atoms and distances in Å follow each position.
Space group P4/mbm (No. 127)
Unique sites:
Cs: 0.0000 0.0000 0.0000 [2 per cell]  2 Cs 3.59, 4 Bi 3.93
Hg: 0.1719 0.3281 0.5000 [4 per cell]  6 Bi 3.40-3.44, 2 Hg 3.59
Bi: 0.1167 0.6167 0.0000 [4 per cell]  3 Bi 3.24-3.59, 6 Hg 3.40-3.44

Computed properties:
The excess energy over the best structure of this formula in the dataset comes out at 117.5 meV per atom. As for the theoretical density: 9.2 Mg/m³. The energy of formation is -0.07 eV/atom. The crystal system is tetragonal. The total magnetization is 0.0 μB/f.u.

=====

# 5
A geometry-optimized NaLiLa structure. Source: Alexandria, functional PBE-GGA.

Unit cell a=3.3856 b=3.3856 c=16.5396 alpha=90.00 beta=90.00 gamma=90.00
Closest atoms and distances in Å follow each position.
Space group I4mm (No. 107)
Unique sites:
Na: 0.0000 0.0000 0.0000 [2 per cell]  4 Na 3.39, 4 Li 3.49
Li: 0.0000 0.0000 0.3464 [2 per cell]  4 Li 3.39, 4 Na 3.49, 4 La 3.54
La: 0.0000 0.0000 0.6883 [2 per cell]  4 La 3.39, 4 Li 3.54

Computed properties:
The excess energy over the best structure of this formula in the dataset comes out at 89.1 meV per atom. As for the theoretical density: 3.0 Mg/m³. The energy of formation is 0.15 eV/atom. The crystal system is tetragonal. The total magnetization is 0.0 μB/f.u.

=====

# 6
A geometry-optimized Y2TcRh structure. Source: Alexandria, functional PBE-GGA.

Unit cell a=3.7576 b=3.7576 c=6.0918 alpha=90.00 beta=90.00 gamma=90.00
Closest atoms and distances in Å follow each position.
Space group P4mm (No. 99)
Unique sites:
Y: 0.0000 0.0000 0.0000 [1 per cell]  1 Rh 2.77, 4 Tc 2.87
Y: 0.5000 0.5000 0.3745 [1 per cell]  1 Tc 2.74, 4 Rh 2.85
Tc: 0.5000 0.5000 0.8237 [1 per cell]  5 Y 2.74-2.87
Rh: 0.0000 0.0000 0.5456 [1 per cell]  5 Y 2.77-2.85

Computed properties:
As for the theoretical density: 7.3 Mg/m³. The energy of formation is 0.07 eV/atom. The crystal system is tetragonal. The total magnetization is 0.0 μB/f.u.

=====

# 7
A geometry-optimized NaSrPbI5 structure. Source: Alexandria, functional PBE-GGA.

Unit cell a=10.5172 b=14.1629 c=11.6089 alpha=90.00 beta=114.80 gamma=90.00
Closest atoms and distances in Å follow each position.
Space group C2/c (No. 15)
Unique sites:
Na: 0.0000 0.0740 0.2500 [4 per cell]  4 I 3.04
Sr: 0.2500 0.2500 0.0000 [4 per cell]  6 I 3.28-3.44
Pb: 0.0000 0.3859 0.2500 [4 per cell]  5 I 3.17-3.45
I: 0.0000 0.3706 0.7500 [4 per cell]  2 Sr 3.44, 1 Pb 3.45
I: 0.0406 0.2233 0.4507 [8 per cell]  1 Na 3.04, 1 Pb 3.17, 1 Sr 3.36
I: 0.2282 0.0742 0.8092 [8 per cell]  1 Na 3.04, 1 Pb 3.26, 1 Sr 3.28

Computed properties:
As for the theoretical density: 4.0 Mg/m³. The crystal system is monoclinic. The calculation puts the formation energy without anion corrections at -1.10 eV/atom. The total magnetization is 0.0 μB/f.u.

=====

# 8
A geometry-optimized Ho4Er7Cd structure. Source: Alexandria, functional PBE-GGA.

Unit cell a=5.5055 b=5.5055 c=13.7414 alpha=90.00 beta=90.00 gamma=120.00
Closest atoms and distances in Å follow each position.
Space group P-3m1 (No. 164)
Unique sites:
Ho: 0.3333 0.6667 0.1851 [2 per cell]  7 Er 3.24-3.57, 1 Ho 3.34
Ho: 0.3333 0.6667 0.4284 [2 per cell]  7 Er 3.33-3.48, 1 Ho 3.34
Er: 0.0000 0.0000 0.2314 [2 per cell]  1 Cd 3.18, 3 Ho 3.24, 3 Er 3.43
Er: 0.0000 0.0000 0.5000 [1 per cell]  6 Ho 3.33, 2 Er 3.69
Er: 0.3333 0.6667 0.6747 [2 per cell]  7 Ho 3.38-3.72, 4 Er 3.43-3.44
Er: 0.3333 0.6667 0.9251 [2 per cell]  3 Cd 3.34, 1 Er 3.44, 4 Ho 3.52-3.57
Cd: 0.0000 0.0000 0.0000 [1 per cell]  8 Er 3.18-3.34

Computed properties:
As for the theoretical density: 8.9 Mg/m³. The energy of formation is 0.06 eV/atom. The crystal system is trigonal. The total magnetization is 0.0 μB/f.u.

=====

# 9
A geometry-optimized NdTlIn structure. Source: Alexandria, functional PBE-GGA.

Unit cell a=5.0968 b=5.0968 c=7.4579 alpha=90.00 beta=90.00 gamma=120.00
Closest atoms and distances in Å follow each position.
Space group P6_3/mmc (No. 194)
Unique sites:
Nd: 0.0000 0.0000 0.0000 [2 per cell]  6 In 3.48, 6 Tl 3.48, 2 Nd 3.73
Tl: 0.3333 0.6667 0.2500 [2 per cell]  3 In 2.94
In: 0.3333 0.6667 0.7500 [2 per cell]  3 Tl 2.94

Computed properties:
The excess energy over the best structure of this formula in the dataset comes out at 29.7 meV per atom. As for the theoretical density: 9.2 Mg/m³. The energy of formation is -0.33 eV/atom. The crystal system is hexagonal. The total magnetization is 0.0 μB/f.u.

=====

# 10
A geometry-optimized Ho2Ga5Pt structure. Source: Alexandria, functional PBE-GGA.

Unit cell a=5.9686 b=5.9686 c=8.4699 alpha=90.00 beta=90.00 gamma=90.00
Closest atoms and distances in Å follow each position.
Space group I4mm (No. 107)
Unique sites:
Ho: 0.0000 0.5000 0.0000 [4 per cell]  10 Ga 2.98-2.99, 2 Pt 2.98
Ga: 0.0000 0.0000 0.4970 [2 per cell]  8 Ga 2.98-3.00, 4 Ho 2.98
Ga: 0.2488 0.2488 0.7498 [8 per cell]  6 Ga 2.97-3.00, 2 Pt 2.98-3.00, 4 Ho 2.99
Pt: 0.0000 0.0000 0.0033 [2 per cell]  8 Ga 2.98-3.00, 4 Ho 2.98

Computed properties:
As for the theoretical density: 9.6 Mg/m³. The energy of formation is -0.61 eV/atom. The crystal system is tetragonal. The total magnetization is 0.0 μB/f.u.

=====

# 11
A geometry-optimized CaAcIn structure. Source: Alexandria, functional PBE-GGA.

Unit cell a=5.5397 b=5.5397 c=4.0249 alpha=90.00 beta=90.00 gamma=120.00
Closest atoms and distances in Å follow each position.
Space group P3m1 (No. 156)
Unique sites:
Ca: 0.0000 0.0000 0.0000 [1 per cell]  3 In 3.21
Ac: 0.3333 0.6667 0.5133 [1 per cell]  6 In 3.67-3.89, 6 Ca 3.75-3.81, 2 Ac 4.02
In: 0.6667 0.3333 0.0640 [1 per cell]  3 Ca 3.21

Computed properties:
The excess energy over the best structure of this formula in the dataset comes out at 143.0 meV per atom. As for the theoretical density: 5.9 Mg/m³. The energy of formation is -0.24 eV/atom. The crystal system is trigonal. The total magnetization is 0.0 μB/f.u.

=====

# 12
A geometry-optimized K2SrTmF6 structure. Source: Alexandria, functional PBE-GGA.

Unit cell a=9.3160 b=9.3160 c=9.3160 alpha=90.00 beta=90.00 gamma=90.00
Closest atoms and distances in Å follow each position.
Space group Fm-3m (No. 225)
Unique sites:
K: 0.2500 0.2500 0.2500 [8 per cell]  12 F 3.30
Sr: 0.0000 0.0000 0.0000 [4 per cell]  6 F 2.48
Tm: 0.0000 0.0000 0.5000 [4 per cell]  6 F 2.18
F: 0.0000 0.0000 0.2662 [24 per cell]  1 Tm 2.18

Computed properties:
As for the theoretical density: 3.7 Mg/m³. The crystal system is cubic. The calculation puts the formation energy without anion corrections at -3.31 eV/atom. The total magnetization is 0.0 μB/f.u.

=====

# 13
A geometry-optimized MgTi2N structure. Source: Alexandria, functional PBE-GGA.

Unit cell a=6.0988 b=6.0988 c=6.0988 alpha=90.00 beta=90.00 gamma=90.00
Closest atoms and distances in Å follow each position.
Space group Fm-3m (No. 225)
Unique sites:
Mg: 0.0000 0.0000 0.0000 [4 per cell]  8 Ti 2.64
Ti: 0.2500 0.2500 0.2500 [8 per cell]  4 Mg 2.64, 4 N 2.64
N: 0.0000 0.0000 0.5000 [4 per cell]  8 Ti 2.64

Computed properties:
As for the theoretical density: 3.9 Mg/m³. The crystal system is cubic. The calculation puts the formation energy without anion corrections at 0.83 eV/atom. The total magnetization is 0.0 μB/f.u.

=====

# 14
A geometry-optimized Tb2InGa3 structure. Source: Alexandria, functional PBE-GGA.

Unit cell a=7.3225 b=9.0633 c=15.7747 alpha=90.00 beta=90.00 gamma=90.00
Closest atoms and distances in Å follow each position.
Space group Fmmm (No. 69)
Unique sites:
Tb: 0.2481 0.0000 0.0000 [8 per cell]  10 Ga 3.13-3.23, 2 In 3.21
Tb: 0.2500 0.2500 0.2500 [8 per cell]  4 In 3.20, 8 Ga 3.22-3.23
In: 0.0000 0.0000 0.3337 [8 per cell]  3 Ga 2.68-2.70
Ga: 0.0000 0.0000 0.1625 [8 per cell]  2 Ga 2.55, 1 In 2.70
Ga: 0.0000 0.2436 0.0810 [16 per cell]  2 Ga 2.55-2.56, 1 In 2.68

Computed properties:
As for the theoretical density: 8.1 Mg/m³. The energy of formation is -0.54 eV/atom. The crystal system is orthorhombic. The total magnetization is 0.0 μB/f.u.

=====

# 15
A geometry-optimized AcPuIr structure. Source: Alexandria, functional PBE-GGA.

Unit cell a=3.7244 b=3.7244 c=11.8145 alpha=90.00 beta=90.00 gamma=90.00
Closest atoms and distances in Å follow each position.
Space group I4mm (No. 107)
Unique sites:
Ac: 0.0000 0.0000 0.0000 [2 per cell]  1 Pu 3.27, 4 Ir 3.46
Pu: 0.0000 0.0000 0.7230 [2 per cell]  4 Ir 2.83
Ir: 0.0000 0.0000 0.3104 [2 per cell]  4 Pu 2.83

Computed properties:
The excess energy over the best structure of this formula in the dataset comes out at 182.9 meV per atom. As for the theoretical density: 13.4 Mg/m³. The energy of formation is -0.23 eV/atom. The crystal system is tetragonal. The total magnetization is 5.4 μB/f.u.

=====

# 16
A geometry-optimized Li3LaCr structure. Source: Alexandria, functional PBE-GGA.

Unit cell a=5.0030 b=5.0030 c=5.0030 alpha=90.00 beta=90.00 gamma=90.00
Closest atoms and distances in Å follow each position.
Space group Pm-3m (No. 221)
Unique sites:
Li: 0.0000 0.0000 0.5000 [3 per cell]  2 Cr 2.50
La: 0.5000 0.5000 0.5000 [1 per cell]  12 Li 3.54
Cr: 0.0000 0.0000 0.0000 [1 per cell]  6 Li 2.50

Computed properties:
The excess energy over the best structure of this formula in the dataset comes out at 0.0 meV per atom. As for the theoretical density: 2.8 Mg/m³. The energy of formation is 0.57 eV/atom. The crystal system is cubic. The total magnetization is 4.1 μB/f.u.

=====

# 17
A geometry-optimized ZrTc4P structure. Source: Alexandria, functional PBE-GGA.

Unit cell a=7.3245 b=7.3245 c=7.3245 alpha=90.00 beta=90.00 gamma=90.00
Closest atoms and distances in Å follow each position.
Space group F-43m (No. 216)
Unique sites:
Zr: 0.0000 0.0000 0.0000 [4 per cell]  12 Tc 3.04, 4 P 3.17
Tc: 0.1238 0.1238 0.3762 [16 per cell]  6 Tc 2.57-2.61
P: 0.2500 0.2500 0.7500 [4 per cell]  12 Tc 3.03, 4 Zr 3.17

Computed properties:
As for the theoretical density: 8.7 Mg/m³. The energy of formation is 0.18 eV/atom. The crystal system is cubic. The total magnetization is 0.0 μB/f.u.

=====

# 18
A geometry-optimized ZnSn2PbSe6 structure. Source: Alexandria, functional PBE-GGA.

Unit cell a=13.9091 b=12.9813 c=7.5510 alpha=90.00 beta=111.59 gamma=90.00
Closest atoms and distances in Å follow each position.
Space group C2/c (No. 15)
Unique sites:
Zn: 0.0000 0.2086 0.2500 [4 per cell]  4 Se 2.45-2.61
Sn: 0.1912 0.4237 0.6984 [8 per cell]  4 Se 2.57-2.61
Pb: 0.0000 0.1293 0.7500 [4 per cell]  6 Se 3.05-3.14
Se: 0.1090 0.0664 0.1657 [8 per cell]  1 Sn 2.59, 1 Zn 2.61
Se: 0.1211 0.4210 0.9752 [8 per cell]  2 Sn 2.58-2.61
Se: 0.1340 0.2430 0.5616 [8 per cell]  1 Zn 2.45, 1 Sn 2.57

Computed properties:
As for the theoretical density: 5.2 Mg/m³. The crystal system is monoclinic. The calculation puts the formation energy without anion corrections at -0.36 eV/atom. The total magnetization is 0.0 μB/f.u.

=====

# 19
A geometry-optimized Tl3HgRh structure. Source: Alexandria, functional PBE-GGA.

Unit cell a=14.3571 b=14.3571 c=14.3571 alpha=90.00 beta=90.00 gamma=90.00
Closest atoms and distances in Å follow each position.
Space group Fd-3m (No. 227, origin choice 2)
Unique sites:
Tl: 0.0579 0.3750 0.3750 [48 per cell]  2 Rh 2.67
Hg: 0.0000 0.0000 0.5000 [16 per cell]  6 Tl 3.75
Rh: 0.0000 0.0000 0.0000 [16 per cell]  6 Tl 2.67

Computed properties:
The excess energy over the best structure of this formula in the dataset comes out at 121.8 meV per atom. As for the theoretical density: 8.2 Mg/m³. The energy of formation is 0.10 eV/atom. The crystal system is cubic. The total magnetization is 0.0 μB/f.u.

=====

# 20
A geometry-optimized Sm2TeSe structure. Source: Alexandria, functional PBE-GGA.

Unit cell a=3.7332 b=3.7332 c=7.4733 alpha=90.00 beta=90.00 gamma=90.00
Closest atoms and distances in Å follow each position.
Space group P4/mmm (No. 123)
Unique sites:
Sm: 0.0000 0.0000 0.2414 [2 per cell]  4 Se 3.20, 4 Te 3.27
Te: 0.5000 0.5000 0.5000 [1 per cell]  8 Sm 3.27
Se: 0.5000 0.5000 0.0000 [1 per cell]  8 Sm 3.20

Computed properties:
The excess energy over the best structure of this formula in the dataset comes out at 227.8 meV per atom. As for the theoretical density: 8.1 Mg/m³. The crystal system is tetragonal. The calculation puts the formation energy without anion corrections at -1.41 eV/atom. The total magnetization is 0.8 μB/f.u.